First-principles (GGA-PBE) data for a relaxed Re2OsPb crystal, as listed in Alexandria.

Geometry as POSCAR:
```
Re2OsPb
1.0
4.713 -1.475 0.000
4.713 1.475 0.000
-0.926 0.000 4.920
Re Os Pb
2 1 1
direct
0.234 0.234 0.207
0.766 0.766 0.793
0.500 0.500 0.000
0.000 0.000 0.500
```

Calculated values
mass density: 18.69 g/cm3
DFT formation energy: 0.784 eV/atom
V: 68 Å³/cell
space-group type: C2/m, No. 12

First-principles (GGA-PBE) data for a relaxed ReOs2Pb crystal, as listed in Alexandria.

Geometry as POSCAR:
```
ReOs2Pb
1.0
-1.994 1.994 4.130
1.994 -1.994 4.130
1.994 1.994 -4.130
Re Os Pb
1 2 1
direct
0.000 0.000 0.000
0.250 0.750 0.500
0.500 0.500 0.000
0.750 0.250 0.500
```

Calculated values
mass density: 19.56 g/cm3
DFT formation energy: 0.973 eV/atom
V: 66 Å³/cell
space-group type: I-4m2, No. 119

Copy entry 1 word for word.
First-principles (GGA-PBE) data for a relaxed Re2OsPb crystal, as listed in Alexandria.

Geometry as POSCAR:
```
Re2OsPb
1.0
4.713 -1.475 0.000
4.713 1.475 0.000
-0.926 0.000 4.920
Re Os Pb
2 1 1
direct
0.234 0.234 0.207
0.766 0.766 0.793
0.500 0.500 0.000
0.000 0.000 0.500
```

Calculated values
mass density: 18.69 g/cm3
DFT formation energy: 0.784 eV/atom
V: 68 Å³/cell
space-group type: C2/m, No. 12